Record 1
A plane-wave DFT calculation with PBE was carried out for a relaxed structure of GdErH2I4.

Cell and atoms, written as POSCAR:
```
GdErH2I4
1.0
3.9932 0.0000 0.0000
-1.9966 3.4582 0.0000
0.0000 0.0000 16.5646
Gd Er H I
1 1 2 4
Cartesian
0.0000 0.0000 0.0000
0.0000 0.0000 8.2823
0.0000 2.3055 8.2823
1.9966 1.1527 0.0000
0.0000 2.3055 2.1426
0.0000 2.3055 14.4220
1.9966 1.1527 6.1954
1.9966 1.1527 10.3691
```

* uncorrected energy: -31.6 eV per cell
* total magnetization: 0.0001 μB/atom

---

Record 2
A plane-wave DFT calculation with PBE was carried out for a relaxed structure of Gd3ErHf.

Cell and atoms, written as POSCAR:
```
Gd3ErHf
1.0
5.6000 0.0000 0.0000
0.0000 5.6000 0.0000
0.0000 0.0000 5.6000
Gd Er Hf
3 1 1
Cartesian
0.0000 0.0000 2.8000
0.0000 2.8000 0.0000
2.8000 0.0000 0.0000
2.8000 2.8000 2.8000
0.0000 0.0000 0.0000
```

* uncorrected energy: -25.3 eV per cell
* E_form: 627 meV/atom
* total magnetization: 0.0028 μB/atom